[1]
Entry from the Alexandria database: a geometry-optimized Ho4Sc5Tl2 structure (GGA-PBE).

Lattice parameters (Å, degrees): 4.9748 4.9748 45.9636 90.00 90.00 120.00
With the nearest neighbours (Å) after each atom.
Space group R-3m (No. 166, hexagonal axes)
Asymmetric unit:
Ho  0.0000  0.0000  0.0719 x6  3 Tl 3.25, 5 Sc 3.31-3.55, 3 Ho 3.39
Ho  0.0000  0.0000  0.2223 x6  5 Sc 3.36-3.67, 3 Ho 3.39
Sc  0.0000  0.0000  0.0000 x3  6 Sc 3.21, 2 Ho 3.31, 6 Tl 3.38
Sc  0.0000  0.0000  0.1491 x6  3 Sc 3.30, 5 Ho 3.36-3.55
Sc  0.0000  0.0000  0.3020 x6  4 Tl 2.89-3.22, 3 Sc 3.21
Tl  0.0000  0.0000  0.3721 x6  4 Sc 2.89-3.22

ΔH_f (0 K) in eV per formula unit: 2.75


[2]
Entry from the Alexandria database: a geometry-optimized HoSc4Tl2 structure (GGA-PBE).

Lattice parameters (Å, degrees): 6.2728 9.9287 11.4309 90.00 90.00 90.00
With the nearest neighbours (Å) after each atom.
Space group Fmmm (No. 69)
Asymmetric unit:
Ho  0.0000  0.0000  0.0000 x4  4 Sc 2.94
Sc  0.2500  0.2500  0.0000 x8  4 Sc 2.86-3.14, 2 Ho 2.94
Sc  0.2500  0.2500  0.2500 x8  4 Sc 2.86-3.14, 4 Tl 3.19
Tl  0.0000  0.0000  0.3590 x8  8 Sc 3.19-3.35, 1 Tl 3.22, 2 Ho 3.53

ΔH_f (0 K) in eV per formula unit: 0.96


[3]
Entry from the Alexandria database: a geometry-optimized HoScTl4 structure (GGA-PBE).

Lattice parameters (Å, degrees): 4.8770 4.8770 7.5911 90.00 90.00 90.00
With the nearest neighbours (Å) after each atom.
Space group P4/mmm (No. 123)
Asymmetric unit:
Ho  0.0000  0.0000  0.0000 x1  8 Tl 3.17
Sc  0.5000  0.5000  0.5000 x1  8 Tl 3.01
Tl  0.0000  0.5000  0.2665 x4  2 Sc 3.01, 2 Ho 3.17

ΔH_f (0 K) in eV per formula unit: 0.19


The highest ΔH_f (0 K) belongs to which entry?
Ho4Sc5Tl2


Number 3 is which compound?
HoScTl4